Here is a geometry-optimized BaEuCuSb structure from Alexandria via LeMat-Bulk. Energies are from PBE-GGA.

Cell lengths 5.6485, 5.6485, 5.6485 Å; angles 60.00, 60.00, 60.00 degrees
Last column: nearest neighbours and their distance in Å.
Sites, in units of the cell vectors:
Eu (0.0000, 0.0000, 0.0000)  4 Cu 3.46, 4 Sb 3.46
Sb (0.7500, 0.7500, 0.7500)  4 Ba 3.46, 4 Eu 3.46
Ba (0.5000, 0.5000, 0.5000)  4 Sb 3.46, 4 Cu 3.46
Cu (0.2500, 0.2500, 0.2500)  4 Ba 3.46, 4 Eu 3.46

Results
- M_tot (μB/f.u.) = 7.002
- energy relative to the elements, uncorrected (eV/atom) = -0.5268
- total energy (eV for the cell shown) = -22.52
- symmetry = No. 216

Here is a geometry-optimized BaEuCuSn structure from Alexandria via LeMat-Bulk. Energies are from PBE-GGA.

Cell lengths 5.6490, 5.6490, 5.6490 Å; angles 60.00, 60.00, 60.00 degrees
Last column: nearest neighbours and their distance in Å.
Sites, in units of the cell vectors:
Eu (0.5000, 0.5000, 0.5000)  4 Cu 3.46, 4 Sn 3.46
Ba (0.0000, 0.0000, 0.0000)  4 Sn 3.46, 4 Cu 3.46
Cu (0.7500, 0.7500, 0.7500)  4 Ba 3.46, 4 Eu 3.46
Sn (0.2500, 0.2500, 0.2500)  4 Eu 3.46, 4 Ba 3.46

Results
- M_tot (μB/f.u.) = 6.916
- formation energy (eV/atom) = -0.27
- total energy (eV for the cell shown) = -21.37
- symmetry = No. 216

Here is a geometry-optimized BaEuTlCu structure from Alexandria via LeMat-Bulk. Energies are from PBE-GGA.

Cell lengths 5.6753, 5.6753, 5.6753 Å; angles 60.00, 60.00, 60.00 degrees
Last column: nearest neighbours and their distance in Å.
Sites, in units of the cell vectors:
Eu (0.5000, 0.5000, 0.5000)  4 Tl 3.48, 4 Cu 3.48
Tl (0.2500, 0.2500, 0.2500)  4 Ba 3.48, 4 Eu 3.48
Ba (0.0000, 0.0000, 0.0000)  4 Cu 3.48, 4 Tl 3.48
Cu (0.7500, 0.7500, 0.7500)  4 Ba 3.48, 4 Eu 3.48

Results
- M_tot (μB/f.u.) = 7.398
- formation energy (eV/atom) = -0.12
- total energy (eV for the cell shown) = -19.12
- symmetry = No. 216

Here is a geometry-optimized BaCu2F6 structure from Alexandria via LeMat-Bulk. Energies are from PBE-GGA.

Cell lengths 5.4862, 5.4862, 5.4831 Å; angles 90.00, 90.00, 120.00 degrees
Last column: nearest neighbours and their distance in Å.
Sites, in units of the cell vectors:
Ba (0.0000, 0.0000, 0.0000)  6 F 2.65
Cu (0.3333, 0.6667, 0.5000)  6 F 2.05
Cu (0.6667, 0.3333, 0.5000)  6 F 2.05
F (0.6192, 0.0000, 0.2961)  2 Cu 2.05
F (0.3808, 0.3808, 0.2961)  2 Cu 2.05
F (0.0000, 0.6192, 0.2961)  2 Cu 2.05
F (0.6192, 0.6192, 0.7039)  2 Cu 2.05
F (0.0000, 0.3808, 0.7039)  2 Cu 2.05
F (0.3808, 0.0000, 0.7039)  2 Cu 2.05

Results
- M_tot (μB/f.u.) = 2.000
- energy relative to the elements, uncorrected (eV/atom) = -2.2887
- total energy (eV for the cell shown) = -41.94
- symmetry = No. 162

Here is a geometry-optimized Ba2CuF8 structure from Alexandria via LeMat-Bulk. Energies are from PBE-GGA.

Cell lengths 4.7487, 5.0519, 7.9220 Å; angles 108.67, 107.44, 90.00 degrees
Last column: nearest neighbours and their distance in Å.
Sites, in units of the cell vectors:
Ba (0.8366, 0.3321, 0.6732)  10 F 2.71-2.92
Ba (0.1634, 0.6679, 0.3268)  10 F 2.71-2.92
Cu (0.5000, 0.0000, 0.0000)  4 F 1.80-1.81
F (0.4216, 0.6419, 0.8431)  1 Cu 1.80
F (0.6050, 0.9036, 0.2100)  1 Cu 1.81
F (0.7649, 0.7574, 0.5298)  4 Ba 2.71-2.78, 2 F 2.75-2.86
F (0.9989, 0.1975, 0.9978)  1 F 2.01
F (0.2351, 0.2426, 0.4702)  4 Ba 2.71-2.78, 2 F 2.75-2.86
F (0.3950, 0.0964, 0.7900)  1 Cu 1.81
F (0.5784, 0.3581, 0.1569)  1 Cu 1.80
F (0.0011, 0.8025, 0.0022)  1 F 2.01

Results
- M_tot (μB/f.u.) = 1.037
- energy relative to the elements, uncorrected (eV/atom) = -2.5941
- total energy (eV for the cell shown) = -51.45
- symmetry = No. 12

Here is a geometry-optimized Ba2Cu3F8 structure from Alexandria via LeMat-Bulk. Energies are from PBE-GGA.

Cell lengths 4.4745, 8.6444, 7.6409 Å; angles 124.45, 105.20, 90.00 degrees
Last column: nearest neighbours and their distance in Å.
Sites, in units of the cell vectors:
Ba (0.4203, 0.2690, 0.5381)  8 F 2.63-2.87
Ba (0.5797, 0.7310, 0.4619)  8 F 2.63-2.87
Cu (0.5000, 0.0000, 0.0000)  2 F 1.85
Cu (0.0000, 0.2901, 0.0000)  2 F 1.89
Cu (0.0000, 0.7099, 0.0000)  2 F 1.89
F (0.9271, 0.5977, 0.1954)  2 Cu 2.27
F (0.0729, 0.4023, 0.8046)  2 Cu 2.27
F (0.8146, 0.1369, 0.2738)  1 Cu 1.85
F (0.1854, 0.8631, 0.7262)  1 Cu 1.85
F (0.6487, 0.6320, 0.7494)  1 Cu 1.89
F (0.6487, 0.1174, 0.7494)  1 Cu 1.89
F (0.3513, 0.8826, 0.2506)  1 Cu 1.89
F (0.3513, 0.3680, 0.2506)  1 Cu 1.89

Results
- M_tot (μB/f.u.) = 1.012
- energy relative to the elements, uncorrected (eV/atom) = -2.4111
- total energy (eV for the cell shown) = -62.45
- symmetry = No. 12